Entry from Alexandria: a PBEsol-optimized structure of KTbP4O12 (SCAN).

a = 7.2536 Å, b = 8.3145 Å, c = 7.8789 Å
α = 90.00°, β = 91.58°, γ = 90.00°
Sites, in units of the cell vectors:
K1 0.2331 0.0000 0.2810
K2 0.7669 0.5000 0.7190
Tb1 0.2623 0.3172 0.7567
Tb2 0.7377 0.8172 0.2433
P1 0.0643 0.9429 0.9064
P2 0.1146 0.5688 0.4002
P3 0.4021 0.7339 0.9023
P4 0.4977 0.4690 0.3817
P5 0.5023 0.9690 0.6183
P6 0.5979 0.2339 0.0977
P7 0.8854 0.0688 0.5998
P8 0.9357 0.4429 0.0936
O1 0.0240 0.7245 0.3528
O2 0.0367 0.4278 0.2773
O3 0.0728 0.4149 0.9582
O4 0.1097 0.5108 0.5793
O5 0.1809 0.0904 0.9273
O6 0.1894 0.7848 0.8924
O7 0.3237 0.5826 0.3416
O8 0.3328 0.0720 0.6145
O9 0.4126 0.5698 0.8262
O10 0.4650 0.3691 0.5363
O11 0.4781 0.7635 0.0782
O12 0.4901 0.3581 0.2162
O13 0.5099 0.8581 0.7838
O14 0.5219 0.2635 0.9218
O15 0.5350 0.8691 0.4637
O16 0.5874 0.0698 0.1738
O17 0.6672 0.5720 0.3855
O18 0.6763 0.0826 0.6584
O19 0.8106 0.2848 0.1076
O20 0.8191 0.5904 0.0727
O21 0.8903 0.0108 0.4207
O22 0.9272 0.9149 0.0418
O23 0.9633 0.9278 0.7227
O24 0.9760 0.2245 0.6472

Properties
Raw total energy in eV per atom: -12.256
Space-group type: P2_1 (4)
Formation energy without anion corrections in meV per atom: -2731